This record from Alexandria describes a relaxed structure of Mg2ScTa. The functional is GGA-PBEsol.

Calculated values
DOS at the Fermi energy = 0.660 states/eV per atom
energy of formation = 0.350 eV/atom
SG = No. 123

abc: 3.2858 4.8904 4.8904
angles: 90.00 90.00 90.00
With the nearest neighbours (Å) after each atom.
Element x y z (fractional)
Mg (0.0000, 0.0000, 0.5000)  4 Sc 2.95, 4 Ta 2.95, 2 Mg 3.29
Mg (0.0000, 0.5000, 0.0000)  4 Ta 2.95, 4 Sc 2.95, 2 Mg 3.29
Sc (0.5000, 0.5000, 0.5000)  8 Mg 2.95, 2 Sc 3.29
Ta (0.5000, 0.0000, 0.0000)  8 Mg 2.95, 2 Ta 3.29